# GGA-PBE UNiAs2Pd2, relaxed
# ΔE_f ... -0.4299 eV per atom
data_UNiAs2Pd2
_symmetry_space_group_name_H-M 'P m c 21'
_symmetry_Int_Tables_number 26
_cell_length_a 4.085
_cell_length_b 7.505
_cell_length_c 6.768
_cell_angle_alpha 90.00
_cell_angle_beta 90.00
_cell_angle_gamma 90.00
loop_
_symmetry_equiv_pos_as_xyz
'x,y,z'
'-x,-y,z+1/2'
'-x,y,z'
'x,-y,z+1/2'
loop_
_atom_site_label
_atom_site_type_symbol
_atom_site_fract_x
_atom_site_fract_y
_atom_site_fract_z
_atom_site_occupancy
U1 U 0.000 0.058 0.000 1
Ni1 Ni 0.500 0.156 0.673 1
As1 As 0.000 0.325 0.694 1
As2 As 0.500 0.152 0.300 1
Pd1 Pd 0.000 0.372 0.322 1
Pd2 Pd 0.500 0.370 0.996 1

---

# GGA-PBE CrRu2Pb, relaxed
# ΔE_f ... 0.4413 eV per atom
data_CrRu2Pb
_symmetry_space_group_name_H-M 'C 1 2/m 1'
_symmetry_Int_Tables_number 12
_cell_length_a 8.867
_cell_length_b 2.954
_cell_length_c 5.090
_cell_angle_alpha 90.00
_cell_angle_beta 102.31
_cell_angle_gamma 90.00
loop_
_symmetry_equiv_pos_as_xyz
'x,y,z'
'-x,-y,-z'
'-x,y,-z'
'x,-y,z'
'x+1/2,y+1/2,z'
'-x+1/2,-y+1/2,-z'
'-x+1/2,y+1/2,-z'
'x+1/2,-y+1/2,z'
loop_
_atom_site_label
_atom_site_type_symbol
_atom_site_fract_x
_atom_site_fract_y
_atom_site_fract_z
_atom_site_occupancy
Cr1 Cr 0.000 0.000 0.000 1
Ru1 Ru 0.236 0.500 0.208 1
Pb1 Pb 0.000 0.500 0.500 1

---

# GGA-PBE KNa2TaGa, relaxed
# ΔE_f ... 1.5819 eV per atom
data_KNa2TaGa
_symmetry_space_group_name_H-M 'P 4/m m m'
_symmetry_Int_Tables_number 123
_symmetry_space_group_name_Hall '-P 4 2'
_cell_length_a 4.815
_cell_length_b 4.815
_cell_length_c 5.674
_cell_angle_alpha 90.00
_cell_angle_beta 90.00
_cell_angle_gamma 90.00
loop_
_atom_site_label
_atom_site_type_symbol
_atom_site_fract_x
_atom_site_fract_y
_atom_site_fract_z
_atom_site_occupancy
K1 K 0.000 0.000 0.000 1
Na1 Na 0.000 0.500 0.000 1
Ta1 Ta 0.500 0.500 0.500 1
Ga1 Ga 0.000 0.000 0.500 1

---

# SbTeHI2

Crystalline SbTeHI2 at its relaxed geometry (GGA-PBE, the Alexandria database).

Geometry as CIF:
```
data_SbTeHI2
_symmetry_space_group_name_H-M 'P 4/m m m'
_symmetry_Int_Tables_number 123
_symmetry_space_group_name_Hall '-P 4 2'
_cell_length_a 5.836
_cell_length_b 5.836
_cell_length_c 3.900
_cell_angle_alpha 90.00
_cell_angle_beta 90.00
_cell_angle_gamma 90.00
loop_
_atom_site_label
_atom_site_type_symbol
_atom_site_fract_x
_atom_site_fract_y
_atom_site_fract_z
_atom_site_occupancy
Sb1 Sb 0.000 0.000 0.000 1
Te1 Te 0.500 0.500 0.000 1
H1 H 0.000 0.000 0.500 1
I1 I 0.000 0.500 0.500 1
```

---

Energy in eV for the cell shown, matching the order above: -78.7 -60.2 -10.7 -11.2